(1)
Density functional theory data (PBE) for a geometry-optimized YRe2Br structure.

Lattice parameters (Å, degrees): 3.619 5.326 9.096 90.00 90.00 90.00
Sites, in units of the cell vectors:
Y1 0.000 0.000 0.000
Y2 0.500 0.500 0.500
Re1 0.000 0.000 0.499
Re2 0.000 0.500 0.168
Re3 0.500 0.000 0.668
Re4 0.500 0.500 0.999
Br1 0.000 0.500 0.769
Br2 0.500 0.000 0.269

Properties
E above lowest polymorph	1.80	eV/f.u.
ΔE_f (raw)	0.470	eV per atom
total magnetic moment	0.00	μB/cell

(2)
Density functional theory data (PBE) for a geometry-optimized YRe2Br structure.

Lattice parameters (Å, degrees): 3.208 3.208 8.859 90.00 90.00 90.00
Sites, in units of the cell vectors:
Y1 0.000 0.000 0.000
Re1 0.000 0.000 0.620
Re2 0.500 0.500 0.756
Br1 0.500 0.500 0.219

Properties
E above lowest polymorph	0.00	eV/f.u.
ΔE_f (raw)	0.021	eV per atom
total magnetic moment	0.00	μB/cell

(3)
Density functional theory data (PBE) for a geometry-optimized YReBr2 structure.

Lattice parameters (Å, degrees): 3.557 3.557 28.870 90.00 90.00 120.00
Sites, in units of the cell vectors:
Y1 0.000 0.000 0.000
Y2 0.333 0.667 0.667
Y3 0.667 0.333 0.333
Re1 0.000 0.000 0.742
Re2 0.333 0.667 0.408
Re3 0.667 0.333 0.075
Br1 0.000 0.000 0.263
Br2 0.000 0.000 0.468
Br3 0.333 0.667 0.134
Br4 0.333 0.667 0.930
Br5 0.667 0.333 0.596
Br6 0.667 0.333 0.801

Properties
E above lowest polymorph	0.30	eV/f.u.
ΔE_f (raw)	-0.135	eV per atom
total magnetic moment	2.78	μB/cell

(4)
Density functional theory data (PBE) for a geometry-optimized YReBr2 structure.

Lattice parameters (Å, degrees): 4.089 4.089 10.498 90.00 90.00 90.00
Sites, in units of the cell vectors:
Y1 0.000 0.000 0.000
Y2 0.500 0.500 0.500
Re1 0.000 0.500 0.250
Re2 0.500 0.000 0.750
Br1 0.000 0.000 0.500
Br2 0.000 0.500 0.750
Br3 0.500 0.000 0.250
Br4 0.500 0.500 0.000

Properties
E above lowest polymorph	2.66	eV/f.u.
ΔE_f (raw)	0.456	eV per atom
total magnetic moment	4.00	μB/cell

(5)
Density functional theory data (PBE) for a geometry-optimized YRe2Br structure.

Lattice parameters (Å, degrees): 5.225 9.473 3.118 90.00 90.00 90.00
Sites, in units of the cell vectors:
Y1 0.000 0.000 0.000
Y2 0.500 0.500 0.000
Re1 0.250 0.250 0.500
Re2 0.250 0.750 0.500
Re3 0.750 0.250 0.500
Re4 0.750 0.750 0.500
Br1 0.000 0.500 0.000
Br2 0.500 0.000 0.000

Properties
E above lowest polymorph	3.59	eV/f.u.
ΔE_f (raw)	0.919	eV per atom
total magnetic moment	0.00	μB/cell

(6)
Density functional theory data (PBE) for a geometry-optimized YReBr2 structure.

Lattice parameters (Å, degrees): 3.361 3.361 9.932 90.00 90.00 90.00
Sites, in units of the cell vectors:
Y1 0.000 0.000 0.000
Re1 0.000 0.000 0.500
Br1 0.500 0.500 0.177
Br2 0.500 0.500 0.823

Properties
E above lowest polymorph	2.61	eV/f.u.
ΔE_f (raw)	0.442	eV per atom
total magnetic moment	4.10	μB/cell

(7)
Density functional theory data (PBE) for a geometry-optimized YReBr2 structure.

Lattice parameters (Å, degrees): 14.698 3.471 4.671 90.00 90.49 90.00
Sites, in units of the cell vectors:
Y1 0.000 0.000 0.000
Y2 0.500 0.500 0.000
Re1 0.000 0.500 0.500
Re2 0.500 0.000 0.500
Br1 0.148 0.500 0.237
Br2 0.352 0.000 0.763
Br3 0.648 0.000 0.237
Br4 0.852 0.500 0.763

Properties
E above lowest polymorph	0.16	eV/f.u.
ΔE_f (raw)	-0.170	eV per atom
total magnetic moment	1.68	μB/cell

(8)
Density functional theory data (PBE) for a geometry-optimized YReBr2 structure.

Lattice parameters (Å, degrees): 3.282 4.664 5.818 90.00 90.00 90.00
Sites, in units of the cell vectors:
Y1 0.000 0.000 0.000
Re1 0.500 0.000 0.500
Br1 0.000 0.500 0.500
Br2 0.500 0.500 0.000

Properties
E above lowest polymorph	2.04	eV/f.u.
ΔE_f (raw)	0.299	eV per atom
total magnetic moment	1.78	μB/cell

(9)
Density functional theory data (PBE) for a geometry-optimized YRe3Br structure.

Lattice parameters (Å, degrees): 5.038 5.038 5.038 90.00 90.00 90.00
Sites, in units of the cell vectors:
Y1 0.000 0.000 0.000
Re1 0.000 0.000 0.500
Re2 0.000 0.500 0.000
Re3 0.500 0.000 0.000
Br1 0.500 0.500 0.500

Properties
E above lowest polymorph	8.52	eV/f.u.
ΔE_f (raw)	3.371	eV per atom
total magnetic moment	5.51	μB/cell

(10)
Density functional theory data (PBE) for a geometry-optimized YRe2Br structure.

Lattice parameters (Å, degrees): 3.158 4.702 5.878 90.00 90.00 90.00
Sites, in units of the cell vectors:
Y1 0.000 0.000 0.000
Re1 0.500 0.500 0.190
Re2 0.500 0.500 0.810
Br1 0.000 0.000 0.500

Properties
E above lowest polymorph	2.65	eV/f.u.
ΔE_f (raw)	0.683	eV per atom
total magnetic moment	0.00	μB/cell

(11)
Density functional theory data (PBE) for a geometry-optimized YReBr2 structure.

Lattice parameters (Å, degrees): 3.352 4.247 14.076 90.00 90.00 90.00
Sites, in units of the cell vectors:
Y1 0.000 0.000 0.000
Y2 0.500 0.500 0.500
Re1 0.000 0.500 0.342
Re2 0.500 0.000 0.842
Br1 0.000 0.000 0.604
Br2 0.000 0.500 0.848
Br3 0.500 0.000 0.348
Br4 0.500 0.500 0.104

Properties
E above lowest polymorph	1.12	eV/f.u.
ΔE_f (raw)	0.071	eV per atom
total magnetic moment	0.00	μB/cell

(12)
Density functional theory data (PBE) for a geometry-optimized YRe2Br structure.

Lattice parameters (Å, degrees): 6.664 6.664 6.664 90.00 90.00 90.00
Sites, in units of the cell vectors:
Y1 0.000 0.000 0.000
Y2 0.000 0.500 0.500
Y3 0.500 0.000 0.500
Y4 0.500 0.500 0.000
Re1 0.250 0.250 0.250
Re2 0.250 0.250 0.750
Re3 0.250 0.750 0.250
Re4 0.250 0.750 0.750
Re5 0.750 0.250 0.250
Re6 0.750 0.250 0.750
Re7 0.750 0.750 0.250
Re8 0.750 0.750 0.750
Br1 0.000 0.000 0.500
Br2 0.000 0.500 0.000
Br3 0.500 0.000 0.000
Br4 0.500 0.500 0.500

Properties
E above lowest polymorph	5.45	eV/f.u.
ΔE_f (raw)	1.384	eV per atom
total magnetic moment	0.00	μB/cell

(13)
Density functional theory data (PBE) for a geometry-optimized YReBr4 structure.

Lattice parameters (Å, degrees): 6.192 6.192 6.192 60.00 60.00 60.00
Sites, in units of the cell vectors:
Y1 0.000 0.000 0.000
Re1 0.250 0.250 0.250
Br1 0.124 0.625 0.625
Br2 0.625 0.124 0.625
Br3 0.625 0.625 0.124
Br4 0.625 0.625 0.625

Properties
ΔE_f (raw)	0.953	eV per atom
total magnetic moment	5.84	μB/cell

(14)
Density functional theory data (PBE) for a geometry-optimized YRe2Br structure.

Lattice parameters (Å, degrees): 3.144 5.429 4.548 90.00 91.26 90.00
Sites, in units of the cell vectors:
Y1 0.000 0.000 0.000
Re1 0.317 0.500 0.240
Re2 0.683 0.500 0.760
Br1 0.500 0.000 0.500

Properties
E above lowest polymorph	1.80	eV/f.u.
ΔE_f (raw)	0.472	eV per atom
total magnetic moment	0.00	μB/cell

(15)
Density functional theory data (PBE) for a geometry-optimized Y2ReBr2 structure.

Lattice parameters (Å, degrees): 8.358 8.358 3.324 90.00 90.00 90.00
Sites, in units of the cell vectors:
Y1 0.175 0.325 0.000
Y2 0.325 0.825 0.000
Y3 0.675 0.175 0.000
Y4 0.825 0.675 0.000
Re1 0.000 0.000 0.000
Re2 0.500 0.500 0.000
Br1 0.126 0.626 0.500
Br2 0.374 0.126 0.500
Br3 0.626 0.874 0.500
Br4 0.874 0.374 0.500

Properties
E above lowest polymorph	0.27	eV/f.u.
ΔE_f (raw)	0.087	eV per atom
total magnetic moment	0.00	μB/cell

(16)
Density functional theory data (PBE) for a geometry-optimized YRe2Br structure.

Lattice parameters (Å, degrees): 4.621 4.621 3.475 90.00 90.00 90.00
Sites, in units of the cell vectors:
Y1 0.000 0.000 0.000
Re1 0.000 0.500 0.500
Re2 0.500 0.000 0.500
Br1 0.500 0.500 0.000

Properties
E above lowest polymorph	4.78	eV/f.u.
ΔE_f (raw)	1.216	eV per atom
total magnetic moment	0.00	μB/cell

(17)
Density functional theory data (PBE) for a geometry-optimized YReBr2 structure.

Lattice parameters (Å, degrees): 3.594 5.762 10.244 90.00 90.00 90.00
Sites, in units of the cell vectors:
Y1 0.000 0.000 0.000
Y2 0.500 0.500 0.000
Re1 0.000 0.000 0.500
Re2 0.500 0.500 0.500
Br1 0.000 0.500 0.213
Br2 0.000 0.500 0.787
Br3 0.500 0.000 0.213
Br4 0.500 0.000 0.787

Properties
E above lowest polymorph	3.12	eV/f.u.
ΔE_f (raw)	0.570	eV per atom
total magnetic moment	7.64	μB/cell

(18)
Density functional theory data (PBE) for a geometry-optimized YRe2Br structure.

Lattice parameters (Å, degrees): 5.425 10.991 3.199 90.00 126.06 90.00
Sites, in units of the cell vectors:
Y1 0.000 0.000 0.000
Y2 0.500 0.500 0.000
Re1 0.250 0.250 0.000
Re2 0.250 0.750 0.000
Re3 0.750 0.250 0.000
Re4 0.750 0.750 0.000
Br1 0.000 0.500 0.000
Br2 0.500 0.000 0.000

Properties
E above lowest polymorph	1.94	eV/f.u.
ΔE_f (raw)	0.505	eV per atom
total magnetic moment	0.00	μB/cell

(19)
Density functional theory data (PBE) for a geometry-optimized YReBr structure.

Lattice parameters (Å, degrees): 6.563 6.563 6.563 90.00 90.00 90.00
Sites, in units of the cell vectors:
Y1 0.000 0.000 0.000
Y2 0.000 0.500 0.500
Y3 0.500 0.000 0.500
Y4 0.500 0.500 0.000
Re1 0.000 0.000 0.500
Re2 0.000 0.500 0.000
Re3 0.500 0.000 0.000
Re4 0.500 0.500 0.500
Br1 0.250 0.250 0.250
Br2 0.250 0.750 0.750
Br3 0.750 0.250 0.750
Br4 0.750 0.750 0.250

Properties
E above lowest polymorph	1.69	eV/f.u.
ΔE_f (raw)	0.950	eV per atom
total magnetic moment	8.92	μB/cell

(20)
Density functional theory data (PBE) for a geometry-optimized YRe3Br structure.

Lattice parameters (Å, degrees): 4.627 4.627 4.627 90.00 90.00 90.00
Sites, in units of the cell vectors:
Y1 0.000 0.000 0.000
Re1 0.000 0.500 0.500
Re2 0.500 0.000 0.500
Re3 0.500 0.500 0.000
Br1 0.500 0.500 0.500

Properties
E above lowest polymorph	0.00	eV/f.u.
ΔE_f (raw)	1.667	eV per atom
total magnetic moment	0.00	μB/cell

(21)
Density functional theory data (PBE) for a geometry-optimized YRe2Br structure.

Lattice parameters (Å, degrees): 3.119 3.119 7.609 90.00 90.00 90.00
Sites, in units of the cell vectors:
Y1 0.000 0.000 0.000
Re1 0.500 0.500 0.289
Re2 0.500 0.500 0.711
Br1 0.000 0.000 0.500

Properties
E above lowest polymorph	4.38	eV/f.u.
ΔE_f (raw)	1.116	eV per atom
total magnetic moment	0.00	μB/cell

(22)
Density functional theory data (PBE) for a geometry-optimized YReBr2 structure.

Lattice parameters (Å, degrees): 4.668 4.668 3.594 90.00 90.00 90.00
Sites, in units of the cell vectors:
Y1 0.000 0.000 0.000
Re1 0.500 0.500 0.000
Br1 0.000 0.500 0.500
Br2 0.500 0.000 0.500

Properties
E above lowest polymorph	2.39	eV/f.u.
ΔE_f (raw)	0.387	eV per atom
total magnetic moment	0.00	μB/cell

(23)
Density functional theory data (PBE) for a geometry-optimized Y2ReBr2 structure.

Lattice parameters (Å, degrees): 4.239 4.239 14.544 90.00 90.00 90.00
Sites, in units of the cell vectors:
Y1 0.000 0.000 0.110
Y2 0.000 0.000 0.890
Y3 0.500 0.500 0.390
Y4 0.500 0.500 0.610
Re1 0.000 0.000 0.500
Re2 0.500 0.500 0.000
Br1 0.000 0.500 0.250
Br2 0.000 0.500 0.750
Br3 0.500 0.000 0.250
Br4 0.500 0.000 0.750

Properties
E above lowest polymorph	0.00	eV/f.u.
ΔE_f (raw)	0.033	eV per atom
total magnetic moment	2.01	μB/cell

(24)
Density functional theory data (PBE) for a geometry-optimized YReBr2 structure.

Lattice parameters (Å, degrees): 3.293 3.293 9.020 90.00 90.00 90.00
Sites, in units of the cell vectors:
Y1 0.000 0.000 0.000
Re1 0.500 0.500 0.771
Br1 0.000 0.000 0.615
Br2 0.500 0.500 0.214

Properties
E above lowest polymorph	0.42	eV/f.u.
ΔE_f (raw)	-0.106	eV per atom
total magnetic moment	0.00	μB/cell

(25)
Density functional theory data (PBE) for a geometry-optimized YReBr structure.

Lattice parameters (Å, degrees): 3.394 3.394 7.230 90.00 90.00 120.00
Sites, in units of the cell vectors:
Y1 0.000 0.000 0.000
Re1 0.667 0.333 0.709
Br1 0.333 0.667 0.295

Properties
E above lowest polymorph	0.00	eV/f.u.
ΔE_f (raw)	0.387	eV per atom
total magnetic moment	1.23	μB/cell

(26)
Density functional theory data (PBE) for a geometry-optimized YReBr structure.

Lattice parameters (Å, degrees): 4.602 4.602 3.288 90.00 90.00 120.00
Sites, in units of the cell vectors:
Y1 0.000 0.000 0.000
Re1 0.667 0.333 0.500
Br1 0.333 0.667 0.500

Properties
E above lowest polymorph	0.07	eV/f.u.
ΔE_f (raw)	0.412	eV per atom
total magnetic moment	0.00	μB/cell

(27)
Density functional theory data (PBE) for a geometry-optimized YReBr2 structure.

Lattice parameters (Å, degrees): 4.608 4.278 4.619 90.00 95.02 90.00
Sites, in units of the cell vectors:
Y1 0.000 0.000 0.000
Re1 0.500 0.000 0.500
Br1 0.284 0.500 0.716
Br2 0.716 0.500 0.284

Properties
E above lowest polymorph	1.80	eV/f.u.
ΔE_f (raw)	0.241	eV per atom
total magnetic moment	0.00	μB/cell

(28)
Density functional theory data (PBE) for a geometry-optimized YRe2Br structure.

Lattice parameters (Å, degrees): 7.998 7.998 5.170 90.00 90.00 90.00
Sites, in units of the cell vectors:
Y1 0.000 0.000 0.000
Y2 0.000 0.500 0.250
Y3 0.500 0.000 0.750
Y4 0.500 0.500 0.500
Re1 0.209 0.250 0.625
Re2 0.250 0.709 0.875
Re3 0.250 0.791 0.375
Re4 0.291 0.250 0.125
Re5 0.709 0.750 0.125
Re6 0.750 0.209 0.375
Re7 0.750 0.291 0.875
Re8 0.791 0.750 0.625
Br1 0.000 0.000 0.500
Br2 0.000 0.500 0.750
Br3 0.500 0.000 0.250
Br4 0.500 0.500 0.000

Properties
E above lowest polymorph	4.44	eV/f.u.
ΔE_f (raw)	1.130	eV per atom
total magnetic moment	0.28	μB/cell

(29)
Density functional theory data (PBE) for a geometry-optimized YRe2Br structure.

Lattice parameters (Å, degrees): 11.092 3.469 4.599 90.00 93.30 90.00
Sites, in units of the cell vectors:
Y1 0.000 0.000 0.000
Y2 0.500 0.500 0.000
Re1 0.224 0.500 0.832
Re2 0.276 0.000 0.168
Re3 0.724 0.000 0.832
Re4 0.776 0.500 0.168
Br1 0.000 0.500 0.500
Br2 0.500 0.000 0.500

Properties
E above lowest polymorph	1.19	eV/f.u.
ΔE_f (raw)	0.318	eV per atom
total magnetic moment	0.00	μB/cell

(30)
Density functional theory data (PBE) for a geometry-optimized YRe2Br structure.

Lattice parameters (Å, degrees): 3.072 3.072 27.585 90.00 90.00 120.00
Sites, in units of the cell vectors:
Y1 0.000 0.000 0.000
Y2 0.333 0.667 0.667
Y3 0.667 0.333 0.333
Re1 0.000 0.000 0.245
Re2 0.000 0.000 0.755
Re3 0.333 0.667 0.421
Re4 0.333 0.667 0.912
Re5 0.667 0.333 0.088
Re6 0.667 0.333 0.579
Br1 0.000 0.000 0.500
Br2 0.333 0.667 0.167
Br3 0.667 0.333 0.833

Properties
E above lowest polymorph	4.06	eV/f.u.
ΔE_f (raw)	1.036	eV per atom
total magnetic moment	0.00	μB/cell